(1)
Material: TePt6
Method: DFT, PBE
State: relaxed

**ΔE_f (raw)**: 83 kJ/mol of atoms
**Calculated total energy**: -4.7689 eV/atom
**DOS at the Fermi energy**: 2.061 states/eV/atom

abc: 6.084 6.084 6.084
angles: 109.47 109.47 109.47
Positions (direct):
Te 0.000 0.000 0.000
Pt 0.500 0.250 0.750
Pt 0.500 0.750 0.250
Pt 0.750 0.250 0.500
Pt 0.250 0.500 0.750
Pt 0.250 0.750 0.500
Pt 0.750 0.500 0.250

***

(2)
Material: TePt2
Method: DFT, PBE
State: relaxed

**ΔE_f (raw)**: -13 kJ/mol of atoms
**Calculated total energy**: -5.2085 eV/atom
**DOS at the Fermi energy**: 0.636 states/eV/atom

abc: 6.121 6.121 5.485
angles: 72.96 72.96 36.30
Positions (direct):
Te 0.317 0.317 0.692
Pt 0.967 0.967 0.766
Te 0.683 0.683 0.308
Pt 0.033 0.033 0.234
Pt 0.373 0.373 0.183
Pt 0.627 0.627 0.817

***

(3)
Material: TePt2
Method: DFT, PBE
State: relaxed

**ΔE_f (raw)**: 10 kJ/mol of atoms
**Calculated total energy**: -4.9756 eV/atom
**DOS at the Fermi energy**: 0.742 states/eV/atom

abc: 4.732 4.732 5.743
angles: 90.00 90.00 120.00
Positions (direct):
Pt 0.000 0.000 0.000
Te 0.667 0.333 0.250
Pt 0.333 0.667 0.250
Pt 0.667 0.333 0.750
Pt 0.000 0.000 0.500
Te 0.333 0.667 0.750

***

(4)
Material: TePt2
Method: DFT, PBE
State: relaxed

**ΔE_f (raw)**: -4 kJ/mol of atoms
**Calculated total energy**: -5.1176 eV/atom
**DOS at the Fermi energy**: 0.458 states/eV/atom

abc: 3.920 3.920 4.025
angles: 90.00 90.00 90.00
Positions (direct):
Pt 0.500 0.000 0.500
Te 0.000 0.000 0.000
Pt 0.000 0.500 0.500

***

(5)
Material: TePt2
Method: DFT, PBE
State: relaxed

**ΔE_f (raw)**: 10 kJ/mol of atoms
**Calculated total energy**: -4.9661 eV/atom
**DOS at the Fermi energy**: 0.817 states/eV/atom

abc: 4.450 4.450 4.450
angles: 60.00 60.00 60.00
Positions (direct):
Pt 0.750 0.750 0.750
Te 0.000 0.000 0.000
Pt 0.250 0.250 0.250

***

(6)
Material: TePt2
Method: DFT, PBE
State: relaxed

**ΔE_f (raw)**: 9 kJ/mol of atoms
**Calculated total energy**: -4.9851 eV/atom
**DOS at the Fermi energy**: 0.489 states/eV/atom

abc: 9.986 9.986 9.986
angles: 159.77 159.77 28.77
Positions (direct):
Pt 0.323 0.823 0.500
Pt 0.427 0.427 0.000
Pt 0.177 0.677 0.500
Te 0.000 0.000 0.000
Pt 0.573 0.573 0.000
Te 0.750 0.250 0.500

***

Computed values of magnetization (unit: μB/atom) for the preceding records, in sequence: 0.000, 0.000, 0.000, 0.000, 0.000, 0.000.